Record 1
First-principles (PBE-GGA) data for crystalline Si4AgBr at its relaxed geometry, as listed in the Alexandria database.

a = 7.5697 Å, b = 7.5697 Å, c = 7.5697 Å
α = 90.00°, β = 90.00°, γ = 90.00°
Space group F-43m (No. 216)
Inequivalent atoms, fractional coordinates:
1 Si 0.1251 0.1251 0.1251 (multiplicity 16)
2 Ag 0.2500 0.2500 0.7500 (multiplicity 4)
3 Br 0.0000 0.0000 0.5000 (multiplicity 4)

Output
Magnetization, μB/cell: 0.00
Uncorrected energy, eV per atom: -3.765


Record 2
First-principles (PBE-GGA) data for crystalline Ca2TlAg at its relaxed geometry, as listed in the Alexandria database.

a = 3.7284 Å, b = 5.3265 Å, c = 11.3227 Å
α = 90.00°, β = 90.00°, γ = 90.00°
Space group Imm2 (No. 44)
Inequivalent atoms, fractional coordinates:
1 Ca 0.0000 0.0000 0.0000 (multiplicity 2)
2 Ca 0.0000 0.5000 0.2091 (multiplicity 2)
3 Tl 0.0000 0.5000 0.7682 (multiplicity 2)
4 Ag 0.0000 0.0000 0.4770 (multiplicity 2)

Output
Magnetization, μB/cell: 0.00
Energy relative to the elements, meV per atom: -271
Uncorrected energy, eV per atom: -2.576


Record 3
First-principles (PBE-GGA) data for crystalline BaHfPb2 at its relaxed geometry, as listed in the Alexandria database.

a = 6.0054 Å, b = 6.0054 Å, c = 18.8644 Å
α = 90.00°, β = 90.00°, γ = 90.00°
Space group I-42d (No. 122)
Inequivalent atoms, fractional coordinates:
1 Ba 0.0000 0.0000 0.0000 (multiplicity 4)
2 Hf 0.0000 0.0000 0.5000 (multiplicity 4)
3 Pb 0.1021 0.2500 0.6250 (multiplicity 8)

Output
Magnetization, μB/cell: 2.04
Energy relative to the elements, meV per atom: 213
Uncorrected energy, eV per atom: -4.611


Record 4
First-principles (PBE-GGA) data for crystalline LaMgCl at its relaxed geometry, as listed in the Alexandria database.

a = 3.6372 Å, b = 3.6372 Å, c = 7.2326 Å
α = 90.00°, β = 90.00°, γ = 120.00°
Space group P3m1 (No. 156)
Inequivalent atoms, fractional coordinates:
1 La 0.0000 0.0000 0.0000 (multiplicity 1)
2 Mg 0.6667 0.3333 0.3844 (multiplicity 1)
3 Cl 0.3333 0.6667 0.6915 (multiplicity 1)

Output
Magnetization, μB/cell: 0.00
Uncorrected energy, eV per atom: -3.645


Record 5
First-principles (PBE-GGA) data for crystalline BaNa6Au2 at its relaxed geometry, as listed in the Alexandria database.

a = 4.6648 Å, b = 4.6648 Å, c = 13.0799 Å
α = 90.00°, β = 90.00°, γ = 90.00°
Space group P4/mmm (No. 123)
Inequivalent atoms, fractional coordinates:
1 Ba 0.0000 0.0000 0.0000 (multiplicity 1)
2 Na 0.0000 0.0000 0.5000 (multiplicity 1)
3 Na 0.0000 0.5000 0.2650 (multiplicity 4)
4 Na 0.5000 0.5000 0.5000 (multiplicity 1)
5 Au 0.5000 0.5000 0.1081 (multiplicity 2)

Output
Magnetization, μB/cell: 0.00
Energy relative to the elements, meV per atom: -242
Uncorrected energy, eV per atom: -2.064


Record 6
First-principles (PBE-GGA) data for crystalline ThUIr at its relaxed geometry, as listed in the Alexandria database.

a = 5.2604 Å, b = 8.1648 Å, c = 5.9253 Å
α = 90.00°, β = 90.00°, γ = 90.00°
Space group Cmcm (No. 63)
Inequivalent atoms, fractional coordinates:
1 Th 0.0000 0.1588 0.2500 (multiplicity 4)
2 U 0.0000 0.1874 0.7500 (multiplicity 4)
3 Ir 0.0000 0.5000 0.0000 (multiplicity 4)

Output
Magnetization, μB/cell: 7.11
Energy relative to the elements, meV per atom: 90
Uncorrected energy, eV per atom: -9.100


> What is the uncorrected energy in the second record?

-2.576 eV per atom


Please write out number 4 again, unchanged.
First-principles (PBE-GGA) data for crystalline LaMgCl at its relaxed geometry, as listed in the Alexandria database.

a = 3.6372 Å, b = 3.6372 Å, c = 7.2326 Å
α = 90.00°, β = 90.00°, γ = 120.00°
Space group P3m1 (No. 156)
Inequivalent atoms, fractional coordinates:
1 La 0.0000 0.0000 0.0000 (multiplicity 1)
2 Mg 0.6667 0.3333 0.3844 (multiplicity 1)
3 Cl 0.3333 0.6667 0.6915 (multiplicity 1)

Output
Magnetization, μB/cell: 0.00
Uncorrected energy, eV per atom: -3.645


> Which of these has the highest magnetization?

ThUIr


> uncorrected energy of number 3 (BaHfPb2)?

-4.611 eV per atom